[1]
VASP calculation (PBE-GGA) on crystalline Cs3KMg at its relaxed geometry.

Output
- Calculated density: 1.3 g cm⁻³
- Total moment: 0.00 μB/atom
- E_form: 0.413 eV/atom
- Energy above the most stable polymorph in this dataset: 20.9 kJ per mole of atoms
- Energy: -3.2 eV per cell

The structure in CIF format:
```
data_Cs3KMg
_cell_length_a 8.4475
_cell_length_b 8.4475
_cell_length_c 8.4475
_cell_angle_alpha 90.00
_cell_angle_beta 90.00
_cell_angle_gamma 90.00
_space_group_name_H-M_alt 'P m -3 m'
_space_group_IT_number 221
_space_group_name_Hall '-P 4 2 3'
loop_
_atom_site_label
_atom_site_fract_x
_atom_site_fract_y
_atom_site_fract_z
Cs1 0.0000 0.0000 0.5000
K1 0.0000 0.0000 0.0000
Mg1 0.5000 0.5000 0.5000
```

=====

[2]
VASP calculation (PBE-GGA) on crystalline HfIn3Te at its relaxed geometry.

Output
- Calculated density: 6.0 g cm⁻³
- Total moment: 0.00 μB/atom
- Uncorrected formation energy: 0.63 eV/atom
- Energy above the most stable polymorph in this dataset: 0.0 kJ per mole of atoms
- Energy: -18.2 eV per cell

The structure in CIF format:
```
data_HfIn3Te
_cell_length_a 5.6611
_cell_length_b 5.6611
_cell_length_c 5.6611
_cell_angle_alpha 90.00
_cell_angle_beta 90.00
_cell_angle_gamma 90.00
_space_group_name_H-M_alt 'P m -3 m'
_space_group_IT_number 221
_space_group_name_Hall '-P 4 2 3'
loop_
_atom_site_label
_atom_site_fract_x
_atom_site_fract_y
_atom_site_fract_z
Hf1 0.0000 0.0000 0.0000
In1 0.0000 0.0000 0.5000
Te1 0.5000 0.5000 0.5000
```